a) YTl2Cd | Alexandria | meta-GGA SCAN | PBEsol geometry; Fermi-level density of states = 1.90 states/eV per cell; mass density = 10.27 Mg/m³
1.0
4.509 0.000 0.000
0.000 4.509 0.000
-2.255 -2.255 4.849
Y Tl Cd
1 2 1
direct
0.500 0.500 0.000
0.000 0.000 0.000
0.750 0.250 0.500
0.250 0.750 0.500

=====

b) YTl2Cd | Alexandria | meta-GGA SCAN | PBEsol geometry; Fermi-level density of states = 1.44 states/eV per cell; mass density = 10.51 Mg/m³
1.0
-0.355 1.478 4.188
-3.398 -3.074 0.797
3.154 -3.131 1.372
Y Tl Cd
1 2 1
direct
0.500 0.500 0.500
0.000 0.000 0.500
0.000 0.500 0.000
0.500 0.000 0.000

=====

c) YTl2Cd | Alexandria | meta-GGA SCAN | PBEsol geometry; Fermi-level density of states = 3.69 states/eV per cell; mass density = 9.83 Mg/m³
1.0
3.451 0.000 0.000
1.725 2.989 0.000
1.725 0.996 9.996
Cd Tl Y
1 2 1
direct
0.000 0.000 0.000
0.253 0.253 0.240
0.747 0.747 0.760
0.500 0.500 0.500

=====

What should be chosen as the least stable of them? Choose c).

=====

a) Tl2ZnCd | Alexandria | meta-GGA SCAN | PBEsol geometry; Fermi-level density of states = 1.87 states/eV per cell; mass density = 10.47 Mg/m³
1.0
3.334 0.000 0.000
0.000 3.334 0.000
0.000 0.000 8.374
Cd Tl Zn
1 2 1
direct
0.500 0.500 0.500
0.000 0.000 0.769
0.000 0.000 0.231
0.500 0.500 0.000

=====

b) Tl2ZnCd | Alexandria | meta-GGA SCAN | PBEsol geometry; Fermi-level density of states = 1.87 states/eV per cell; mass density = 10.41 Mg/m³
1.0
-3.597 0.258 2.788
1.890 -3.043 2.720
2.045 3.352 2.329
Cd Tl Zn
1 2 1
direct
0.000 0.500 0.500
0.000 0.000 0.000
0.500 0.000 0.500
0.500 0.500 0.000

=====

c) Tl2ZnCd | Alexandria | meta-GGA SCAN | PBEsol geometry; Fermi-level density of states = 2.01 states/eV per cell; mass density = 10.23 Mg/m³
1.0
5.126 0.000 0.000
2.563 4.439 0.000
2.563 1.480 4.185
Cd Tl Zn
1 2 1
direct
0.500 0.500 0.500
0.000 0.000 0.000
0.250 0.250 0.250
0.750 0.750 0.750

=====

What should be chosen as the least stable of them? Choose c).

=====

a) TlZnCd2 | Alexandria | meta-GGA SCAN | PBEsol geometry; Fermi-level density of states = 1.28 states/eV per cell; mass density = 9.64 Mg/m³
1.0
-3.076 -2.948 -1.678
2.676 -3.275 0.847
-1.745 -0.411 3.923
Cd Tl Zn
2 1 1
direct
0.000 0.000 0.500
0.000 0.500 0.000
0.500 0.500 0.500
0.500 0.000 0.000

=====

b) TlZnCd2 | Alexandria | meta-GGA SCAN | PBEsol geometry; Fermi-level density of states = 1.18 states/eV per cell; mass density = 9.41 Mg/m³
1.0
3.610 0.000 0.000
0.000 4.791 0.000
0.000 0.000 5.047
Cd Tl Zn
2 1 1
direct
0.000 0.000 0.000
0.500 0.500 0.000
0.500 0.000 0.500
0.000 0.500 0.500

=====

What should be chosen as the least stable of them? Choose b).

=====

a) ZrTl2Cd | Alexandria | meta-GGA SCAN | PBEsol geometry; Fermi-level density of states = 1.85 states/eV per cell; mass density = 11.19 Mg/m³
1.0
3.217 0.000 0.000
0.000 5.411 0.002
0.000 -2.207 5.219
Tl Zr Cd
2 1 1
direct
0.000 0.000 0.000
0.500 0.000 0.500
0.500 0.500 0.000
0.000 0.500 0.500

=====

b) ZrTl2Cd | Alexandria | meta-GGA SCAN | PBEsol geometry; Fermi-level density of states = 2.55 states/eV per cell; mass density = 10.81 Mg/m³
1.0
-0.558 0.275 3.230
2.355 -2.030 -1.074
6.652 7.441 0.517
Cd Tl Zr
1 2 1
direct
0.500 0.500 0.000
0.000 0.000 0.249
0.000 0.000 0.751
0.500 0.500 0.500

=====

c) ZrTl2Cd | Alexandria | meta-GGA SCAN | PBEsol geometry; Fermi-level density of states = 2.40 states/eV per cell; mass density = 10.68 Mg/m³
1.0
3.189 0.000 0.000
0.000 3.189 0.000
0.000 0.000 9.365
Cd Tl Zr
1 2 1
direct
0.500 0.500 0.726
0.000 0.000 0.992
0.500 0.500 0.277
0.000 0.000 0.505

=====

d) ZrTl2Cd | Alexandria | meta-GGA SCAN | PBEsol geometry; Fermi-level density of states = 1.95 states/eV per cell; mass density = 11.05 Mg/m³
1.0
-1.263 -2.423 1.536
2.567 -3.400 -3.929
3.471 2.627 4.137
Cd Tl Zr
1 2 1
direct
0.000 0.500 0.000
0.000 0.000 0.500
0.500 0.500 0.500
0.500 0.000 0.000

=====

What should be chosen as the least stable of them? Choose b).

=====

a) ZrTlCd2 | Alexandria | meta-GGA SCAN | PBEsol geometry; Fermi-level density of states = 2.16 states/eV per cell; mass density = 9.98 Mg/m³
1.0
-2.973 -0.613 -0.195
0.874 -2.804 -4.520
0.392 -3.342 4.535
Tl Zr Cd
1 1 2
direct
0.500 0.000 0.500
0.000 0.500 0.500
0.000 0.000 0.000
0.500 0.500 0.000

=====

b) ZrTlCd2 | Alexandria | meta-GGA SCAN | PBEsol geometry; Fermi-level density of states = 1.45 states/eV per cell; mass density = 10.32 Mg/m³
1.0
4.323 0.000 0.000
0.000 4.323 0.000
0.000 0.000 4.479
Tl Zr Cd
1 1 2
direct
0.500 0.500 0.500
0.000 0.000 0.500
0.000 0.500 0.000
0.500 0.000 0.000

=====

What should be chosen as the least stable of them? Choose a).

=====

a) CdW | Alexandria | meta-GGA SCAN | PBEsol geometry; Fermi-level density of states = 1.33 states/eV per cell; mass density = 14.29 Mg/m³
1.0
-0.877 -2.508 1.024
-1.066 -1.964 -1.764
3.846 -3.333 -0.911
W Cd
1 1
direct
0.500 0.500 0.500
0.000 0.000 0.000

=====

b) CdW | Alexandria | meta-GGA SCAN | PBEsol geometry; Fermi-level density of states = 1.80 states/eV per cell; mass density = 14.08 Mg/m³
1.0
2.720 0.000 0.000
0.000 4.315 0.000
0.000 0.000 5.952
Cd W
2 2
direct
0.000 0.000 0.620
0.500 0.500 0.380
0.000 0.000 0.099
0.500 0.500 0.901

=====

What should be chosen as the least stable of them? Choose a).

=====

a) CdW | Alexandria | meta-GGA SCAN | PBEsol geometry; Fermi-level density of states = 1.14 states/eV per cell; mass density = 13.97 Mg/m³
1.0
2.791 0.023 0.000
-0.975 2.615 0.000
0.000 0.000 9.619
Cd W
2 2
direct
0.250 0.750 0.137
0.750 0.250 0.863
0.250 0.750 0.609
0.750 0.250 0.391

=====

b) CdW | Alexandria | meta-GGA SCAN | PBEsol geometry; Fermi-level density of states = 4.30 states/eV per cell; mass density = 11.56 Mg/m³
1.0
-0.975 -4.186 -1.359
4.219 1.060 1.184
-0.967 -1.257 4.568
Cd W
2 2
direct
0.667 0.333 0.750
0.333 0.667 0.250
0.000 0.000 0.000
0.000 0.000 0.500

=====

What should be chosen as the least stable of them? Choose b).

=====

a) ZnCdW2 | Alexandria | meta-GGA SCAN | PBEsol geometry; Fermi-level density of states = 1.60 states/eV per cell; mass density = 13.99 Mg/m³
1.0
3.291 0.000 0.000
0.000 3.291 0.000
0.000 0.000 5.978
Cd W Zn
1 2 1
direct
0.500 0.500 0.500
0.000 0.000 0.796
0.000 0.000 0.204
0.500 0.500 0.000

=====

b) ZnCdW2 | Alexandria | meta-GGA SCAN | PBEsol geometry; Fermi-level density of states = 1.68 states/eV per cell; mass density = 14.25 Mg/m³
1.0
3.787 0.000 0.000
0.000 3.787 0.000
-1.893 -1.893 4.434
Cd W Zn
1 2 1
direct
0.000 0.000 0.000
0.750 0.250 0.500
0.250 0.750 0.500
0.500 0.500 0.000

=====

What should be chosen as the least stable of them? Choose a).

=====

a) ZrCd2W | Alexandria | meta-GGA SCAN | PBEsol geometry; Fermi-level density of states = 2.78 states/eV per cell; mass density = 11.04 Mg/m³
1.0
-1.552 -2.333 -2.291
1.307 -2.767 1.933
-4.753 0.003 3.218
Cd W Zr
2 1 1
direct
0.000 0.000 0.761
0.000 0.000 0.239
0.500 0.500 0.000
0.500 0.500 0.500

=====

b) ZrCd2W | Alexandria | meta-GGA SCAN | PBEsol geometry; Fermi-level density of states = 6.59 states/eV per cell; mass density = 10.85 Mg/m³
1.0
-2.679 -1.251 3.738
-3.052 -3.642 -0.368
0.874 -4.082 2.298
Cd W Zr
2 1 1
direct
0.000 0.000 0.000
0.750 0.750 0.750
0.500 0.500 0.500
0.250 0.250 0.250

=====

What should be chosen as the least stable of them? Choose b).

=====

a) Y3Cd | Alexandria | meta-GGA SCAN | PBEsol geometry; Fermi-level density of states = 8.11 states/eV per cell; mass density = 5.76 Mg/m³
1.0
-4.110 2.002 2.853
-4.397 -3.611 -3.801
2.631 -2.721 5.700
Y Cd
6 2
direct
0.750 0.172 0.345
0.250 0.828 0.655
0.750 0.172 0.828
0.250 0.828 0.172
0.750 0.655 0.828
0.250 0.345 0.172
0.750 0.667 0.333
0.250 0.333 0.667

=====

b) Y3Cd | Alexandria | meta-GGA SCAN | PBEsol geometry; Fermi-level density of states = 5.15 states/eV per cell; mass density = 3.45 Mg/m³
1.0
5.670 0.000 0.000
0.000 5.670 0.000
0.000 0.000 5.670
Cd Y
1 3
direct
0.000 0.000 0.000
0.000 0.000 0.500
0.000 0.500 0.000
0.500 0.000 0.000

=====

c) Y3Cd | Alexandria | meta-GGA SCAN | PBEsol geometry; Fermi-level density of states = 4.48 states/eV per cell; mass density = 5.79 Mg/m³
1.0
4.774 0.000 0.000
0.000 4.774 0.000
0.000 0.000 4.774
Y Cd
3 1
direct
0.000 0.500 0.500
0.500 0.000 0.500
0.500 0.500 0.000
0.000 0.000 0.000

=====

d) Y3Cd | Alexandria | meta-GGA SCAN | PBEsol geometry; Fermi-level density of states = 3.43 states/eV per cell; mass density = 5.63 Mg/m³
1.0
-0.071 -2.882 2.398
5.277 0.123 0.305
-2.938 4.987 2.974
Y Cd
3 1
direct
0.278 0.778 0.556
0.500 0.500 0.000
0.722 0.222 0.444
0.000 0.000 0.000

=====

What should be chosen as the least stable of them? Choose b).

=====

a) Y2ZnCd | Alexandria | meta-GGA SCAN | PBEsol geometry; Fermi-level density of states = 3.10 states/eV per cell; mass density = 6.28 Mg/m³
1.0
3.610 0.000 0.000
0.000 5.103 0.000
0.000 0.000 5.103
Y Zn Cd
2 1 1
direct
0.000 0.000 0.125
0.000 0.500 0.625
0.500 0.000 0.624
0.500 0.500 0.126

=====

b) Y2ZnCd | Alexandria | meta-GGA SCAN | PBEsol geometry; Fermi-level density of states = 4.17 states/eV per cell; mass density = 5.78 Mg/m³
1.0
-2.390 1.044 -2.487
2.681 -2.337 -3.558
-4.274 -3.569 2.609
Cd Y Zn
1 2 1
direct
0.000 0.500 0.500
0.000 0.000 0.000
0.500 0.000 0.500
0.500 0.500 0.000

=====

What should be chosen as the least stable of them? Choose b).

=====

a) Y2ZnCd | Alexandria | meta-GGA SCAN | PBEsol geometry; Fermi-level density of states = 2.76 states/eV per cell; mass density = 6.34 Mg/m³
1.0
3.528 0.000 0.000
0.000 5.015 0.000
-1.764 -2.508 5.263
Cd Y Zn
1 2 1
direct
0.216 0.716 0.432
0.993 0.993 0.985
0.773 0.273 0.545
0.519 0.519 0.038

=====

b) Y2ZnCd | Alexandria | meta-GGA SCAN | PBEsol geometry; Fermi-level density of states = 3.23 states/eV per cell; mass density = 6.28 Mg/m³
1.0
5.105 0.000 0.000
2.552 4.421 0.000
2.552 1.474 4.168
Y Zn Cd
2 1 1
direct
0.750 0.750 0.750
0.250 0.250 0.250
0.500 0.500 0.500
0.000 0.000 0.000

=====

What should be chosen as the least stable of them? Choose a).